Entry 1:
Crystalline MnPtI6 at its relaxed geometry. Source: Alexandria via LeMat-Bulk, functional PBE-GGA.

Formation energy (no corrections) = -226.0 meV/atom
Energy = -3.290 eV per atom

Geometry as CIF:
```
data_MnPtI6
_space_group_name_H-M_alt 'P 1'
_space_group_IT_number 1
_cell_length_a 7.543
_cell_length_b 7.543
_cell_length_c 6.963
_cell_angle_alpha 90.24
_cell_angle_beta 90.24
_cell_angle_gamma 119.95
loop_
_space_group_symop_operation_xyz
'x,y,z'
loop_
_atom_site_label
_atom_site_fract_x
_atom_site_fract_y
_atom_site_fract_z
Mn1 0.000 0.000 0.000
Pt1 0.000 0.000 0.500
I1 0.000 0.289 0.733
I2 0.000 0.711 0.267
I3 0.289 0.000 0.733
I4 0.289 0.289 0.271
I5 0.711 0.000 0.267
I6 0.711 0.711 0.729
```

Entry 2:
Crystalline Hf2ZrOs at its relaxed geometry. Source: Alexandria via LeMat-Bulk, functional PBE-GGA.

Distance to the lowest polymorph of the same formula = 451 meV per atom
ΔE_f = 0.123 eV/atom
Energy = -9.798 eV per atom

Geometry as CIF:
```
data_Hf2ZrOs
_space_group_name_H-M_alt 'P 1'
_space_group_IT_number 1
_cell_length_a 6.221
_cell_length_b 6.221
_cell_length_c 6.221
_cell_angle_alpha 102.44
_cell_angle_beta 102.44
_cell_angle_gamma 124.70
loop_
_space_group_symop_operation_xyz
'x,y,z'
loop_
_atom_site_label
_atom_site_fract_x
_atom_site_fract_y
_atom_site_fract_z
Hf1 0.072 0.625 0.947
Hf2 0.375 0.322 0.447
Hf3 0.678 0.125 0.053
Hf4 0.875 0.928 0.553
Zr1 0.250 0.750 0.500
Zr2 0.500 0.500 0.000
Os1 0.000 0.000 0.000
Os2 0.750 0.250 0.500
```